Entry 1:
A plane-wave DFT calculation with PBE was carried out for a relaxed structure of K2YZrW.

Cell and atoms, written as CIF:
```
data_K2YZrW
_chemical_formula_sum 'K2 Y1 Zr1 W1'
_cell_length_a 5.4134
_cell_length_b 5.4134
_cell_length_c 5.3895
_cell_angle_alpha 90.00
_cell_angle_beta 90.00
_cell_angle_gamma 90.00
_space_group_name_H-M_alt 'P 1'
_space_group_IT_number 1
loop_
_space_group_symop_operation_xyz
'x,y,z'
loop_
_atom_site_label
_atom_site_type_symbol
_atom_site_fract_x
_atom_site_fract_y
_atom_site_fract_z
_atom_site_occupancy
K1 K 0.0000 0.5000 0.0000 1
K2 K 0.5000 0.0000 0.0000 1
Y1 Y 0.0000 0.0000 0.0000 1
Zr1 Zr 0.0000 0.0000 0.5000 1
W1 W 0.5000 0.5000 0.5000 1
```

ΔE_f: 2593.9 meV per atom
Size of the total moment: 0.00 Bohr magnetons per cell
SG: P4/mmm (123)

Entry 2:
A plane-wave DFT calculation with PBE was carried out for a relaxed structure of KZn2W.

Cell and atoms, written as CIF:
```
data_KZn2W
_chemical_formula_sum 'K1 Zn2 W1'
_cell_length_a 2.7828
_cell_length_b 3.9830
_cell_length_c 7.5490
_cell_angle_alpha 90.00
_cell_angle_beta 90.13
_cell_angle_gamma 90.00
_space_group_name_H-M_alt 'P 1'
_space_group_IT_number 1
loop_
_space_group_symop_operation_xyz
'x,y,z'
loop_
_atom_site_label
_atom_site_type_symbol
_atom_site_fract_x
_atom_site_fract_y
_atom_site_fract_z
_atom_site_occupancy
K1 K 0.0000 0.0000 0.0000 1
Zn1 Zn 0.4992 0.5000 0.3302 1
Zn2 Zn 0.5008 0.5000 0.6698 1
W1 W 0.0000 0.0000 0.5000 1
```

Energy relative to the lowest polymorph listed for this composition: 0.000 eV/atom
ΔE_f: 527.8 meV per atom
Size of the total moment: 0.00 Bohr magnetons per cell
SG: P2/m (10)

Entry 3:
A plane-wave DFT calculation with PBE was carried out for a relaxed structure of KZn2W.

Cell and atoms, written as CIF:
```
data_KZn2W
_chemical_formula_sum 'K1 Zn2 W1'
_cell_length_a 4.8545
_cell_length_b 4.8545
_cell_length_c 4.8545
_cell_angle_alpha 60.00
_cell_angle_beta 60.00
_cell_angle_gamma 60.00
_space_group_name_H-M_alt 'P 1'
_space_group_IT_number 1
loop_
_space_group_symop_operation_xyz
'x,y,z'
loop_
_atom_site_label
_atom_site_type_symbol
_atom_site_fract_x
_atom_site_fract_y
_atom_site_fract_z
_atom_site_occupancy
K1 K 0.0000 0.0000 0.0000 1
Zn1 Zn 0.2500 0.2500 0.2500 1
Zn2 Zn 0.5000 0.5000 0.5000 1
W1 W 0.7500 0.7500 0.7500 1
```

Energy relative to the lowest polymorph listed for this composition: 0.871 eV/atom
ΔE_f: 1399.1 meV per atom
Size of the total moment: 2.97 Bohr magnetons per cell
SG: F-43m (216)

Entry 4:
A plane-wave DFT calculation with PBE was carried out for a relaxed structure of KZnW2.

Cell and atoms, written as CIF:
```
data_KZnW2
_chemical_formula_sum 'K1 Zn1 W2'
_cell_length_a 2.7115
_cell_length_b 2.7115
_cell_length_c 10.4262
_cell_angle_alpha 90.00
_cell_angle_beta 90.00
_cell_angle_gamma 90.00
_space_group_name_H-M_alt 'P 1'
_space_group_IT_number 1
loop_
_space_group_symop_operation_xyz
'x,y,z'
loop_
_atom_site_label
_atom_site_type_symbol
_atom_site_fract_x
_atom_site_fract_y
_atom_site_fract_z
_atom_site_occupancy
K1 K 0.0000 0.0000 0.0000 1
Zn1 Zn 0.5000 0.5000 0.7207 1
W1 W 0.0000 0.0000 0.5216 1
W2 W 0.5000 0.5000 0.3019 1
```

ΔE_f: 827.9 meV per atom
Size of the total moment: 0.00 Bohr magnetons per cell
SG: P4mm (99)

Entry 5:
A plane-wave DFT calculation with PBE was carried out for a relaxed structure of KZn2W.

Cell and atoms, written as CIF:
```
data_KZn2W
_chemical_formula_sum 'K1 Zn2 W1'
_cell_length_a 4.7451
_cell_length_b 4.7451
_cell_length_c 7.2155
_cell_angle_alpha 93.65
_cell_angle_beta 93.65
_cell_angle_gamma 32.77
_space_group_name_H-M_alt 'P 1'
_space_group_IT_number 1
loop_
_space_group_symop_operation_xyz
'x,y,z'
loop_
_atom_site_label
_atom_site_type_symbol
_atom_site_fract_x
_atom_site_fract_y
_atom_site_fract_z
_atom_site_occupancy
K1 K 0.0000 0.0000 0.0000 1
Zn1 Zn 0.2404 0.2404 0.6625 1
Zn2 Zn 0.7596 0.7596 0.3375 1
W1 W 0.5000 0.5000 0.5000 1
```

Energy relative to the lowest polymorph listed for this composition: 0.143 eV/atom
ΔE_f: 671.1 meV per atom
Size of the total moment: 0.00 Bohr magnetons per cell
SG: C2/m (12)

Entry 6:
A plane-wave DFT calculation with PBE was carried out for a relaxed structure of KZn2W.

Cell and atoms, written as CIF:
```
data_KZn2W
_chemical_formula_sum 'K1 Zn2 W1'
_cell_length_a 4.8672
_cell_length_b 4.8672
_cell_length_c 4.8672
_cell_angle_alpha 60.00
_cell_angle_beta 60.00
_cell_angle_gamma 60.00
_space_group_name_H-M_alt 'P 1'
_space_group_IT_number 1
loop_
_space_group_symop_operation_xyz
'x,y,z'
loop_
_atom_site_label
_atom_site_type_symbol
_atom_site_fract_x
_atom_site_fract_y
_atom_site_fract_z
_atom_site_occupancy
K1 K 0.0000 0.0000 0.0000 1
Zn1 Zn 0.2500 0.2500 0.2500 1
Zn2 Zn 0.7500 0.7500 0.7500 1
W1 W 0.5000 0.5000 0.5000 1
```

Energy relative to the lowest polymorph listed for this composition: 0.629 eV/atom
ΔE_f: 1156.4 meV per atom
Size of the total moment: 2.60 Bohr magnetons per cell
SG: Fm-3m (225)

Entry 7:
A plane-wave DFT calculation with PBE was carried out for a relaxed structure of KZn2W.

Cell and atoms, written as CIF:
```
data_KZn2W
_chemical_formula_sum 'K1 Zn2 W1'
_cell_length_a 2.7624
_cell_length_b 2.7624
_cell_length_c 9.9878
_cell_angle_alpha 90.00
_cell_angle_beta 90.00
_cell_angle_gamma 90.00
_space_group_name_H-M_alt 'P 1'
_space_group_IT_number 1
loop_
_space_group_symop_operation_xyz
'x,y,z'
loop_
_atom_site_label
_atom_site_type_symbol
_atom_site_fract_x
_atom_site_fract_y
_atom_site_fract_z
_atom_site_occupancy
K1 K 0.0000 0.0000 0.0000 1
Zn1 Zn 0.5000 0.5000 0.2928 1
Zn2 Zn 0.5000 0.5000 0.7072 1
W1 W 0.0000 0.0000 0.5000 1
```

Energy relative to the lowest polymorph listed for this composition: 0.024 eV/atom
ΔE_f: 551.8 meV per atom
Size of the total moment: 0.00 Bohr magnetons per cell
SG: P4/mmm (123)

Entry 8:
A plane-wave DFT calculation with PBE was carried out for a relaxed structure of KZnW3.

Cell and atoms, written as CIF:
```
data_KZnW3
_chemical_formula_sum 'K1 Zn1 W3'
_cell_length_a 4.5404
_cell_length_b 4.5404
_cell_length_c 4.5404
_cell_angle_alpha 90.00
_cell_angle_beta 90.00
_cell_angle_gamma 90.00
_space_group_name_H-M_alt 'P 1'
_space_group_IT_number 1
loop_
_space_group_symop_operation_xyz
'x,y,z'
loop_
_atom_site_label
_atom_site_type_symbol
_atom_site_fract_x
_atom_site_fract_y
_atom_site_fract_z
_atom_site_occupancy
K1 K 0.0000 0.0000 0.0000 1
Zn1 Zn 0.5000 0.5000 0.5000 1
W1 W 0.0000 0.0000 0.5000 1
W2 W 0.0000 0.5000 0.0000 1
W3 W 0.5000 0.0000 0.0000 1
```

Energy relative to the lowest polymorph listed for this composition: 1.156 eV/atom
ΔE_f: 3632.3 meV per atom
Size of the total moment: 0.00 Bohr magnetons per cell
SG: Pm-3m (221)

Entry 9:
A plane-wave DFT calculation with PBE was carried out for a relaxed structure of KZn2W.

Cell and atoms, written as CIF:
```
data_KZn2W
_chemical_formula_sum 'K1 Zn2 W1'
_cell_length_a 5.2284
_cell_length_b 5.2284
_cell_length_c 2.6890
_cell_angle_alpha 90.00
_cell_angle_beta 90.00
_cell_angle_gamma 90.15
_space_group_name_H-M_alt 'P 1'
_space_group_IT_number 1
loop_
_space_group_symop_operation_xyz
'x,y,z'
loop_
_atom_site_label
_atom_site_type_symbol
_atom_site_fract_x
_atom_site_fract_y
_atom_site_fract_z
_atom_site_occupancy
K1 K 0.0000 0.0000 0.0000 1
Zn1 Zn 0.0000 0.5000 0.5000 1
Zn2 Zn 0.5000 0.0000 0.5000 1
W1 W 0.5000 0.5000 0.0000 1
```

Energy relative to the lowest polymorph listed for this composition: 0.145 eV/atom
ΔE_f: 672.9 meV per atom
Size of the total moment: 0.00 Bohr magnetons per cell
SG: Cmmm (65)

Entry 10:
A plane-wave DFT calculation with PBE was carried out for a relaxed structure of KZn3W.

Cell and atoms, written as CIF:
```
data_KZn3W
_chemical_formula_sum 'K1 Zn3 W1'
_cell_length_a 5.0919
_cell_length_b 5.0919
_cell_length_c 5.0919
_cell_angle_alpha 90.00
_cell_angle_beta 90.00
_cell_angle_gamma 90.00
_space_group_name_H-M_alt 'P 1'
_space_group_IT_number 1
loop_
_space_group_symop_operation_xyz
'x,y,z'
loop_
_atom_site_label
_atom_site_type_symbol
_atom_site_fract_x
_atom_site_fract_y
_atom_site_fract_z
_atom_site_occupancy
K1 K 0.0000 0.0000 0.0000 1
Zn1 Zn 0.0000 0.5000 0.5000 1
Zn2 Zn 0.5000 0.0000 0.5000 1
Zn3 Zn 0.5000 0.5000 0.0000 1
W1 W 0.5000 0.5000 0.5000 1
```

Energy relative to the lowest polymorph listed for this composition: 0.000 eV/atom
ΔE_f: 748.0 meV per atom
Size of the total moment: 1.78 Bohr magnetons per cell
SG: Pm-3m (221)

Entry 11:
A plane-wave DFT calculation with PBE was carried out for a relaxed structure of KZnW2.

Cell and atoms, written as CIF:
```
data_KZnW2
_chemical_formula_sum 'K1 Zn1 W2'
_cell_length_a 6.1364
_cell_length_b 6.1364
_cell_length_c 6.1364
_cell_angle_alpha 151.41
_cell_angle_beta 123.79
_cell_angle_gamma 64.27
_space_group_name_H-M_alt 'P 1'
_space_group_IT_number 1
loop_
_space_group_symop_operation_xyz
'x,y,z'
loop_
_atom_site_label
_atom_site_type_symbol
_atom_site_fract_x
_atom_site_fract_y
_atom_site_fract_z
_atom_site_occupancy
K1 K 0.0000 0.0000 0.0000 1
Zn1 Zn 0.7089 0.2089 0.5000 1
W1 W 0.3005 0.8005 0.5000 1
W2 W 0.4813 0.4813 0.0000 1
```

ΔE_f: 1305.6 meV per atom
Size of the total moment: 0.00 Bohr magnetons per cell
SG: Imm2 (44)

Entry 12:
A plane-wave DFT calculation with PBE was carried out for a relaxed structure of KZn2W.

Cell and atoms, written as CIF:
```
data_KZn2W
_chemical_formula_sum 'K1 Zn2 W1'
_cell_length_a 5.2586
_cell_length_b 5.2586
_cell_length_c 6.6094
_cell_angle_alpha 98.92
_cell_angle_beta 98.92
_cell_angle_gamma 29.15
_space_group_name_H-M_alt 'P 1'
_space_group_IT_number 1
loop_
_space_group_symop_operation_xyz
'x,y,z'
loop_
_atom_site_label
_atom_site_type_symbol
_atom_site_fract_x
_atom_site_fract_y
_atom_site_fract_z
_atom_site_occupancy
K1 K 0.0000 0.0000 0.0000 1
Zn1 Zn 0.4737 0.4737 0.5359 1
Zn2 Zn 0.7693 0.7693 0.2822 1
W1 W 0.2084 0.2084 0.6018 1
```

Energy relative to the lowest polymorph listed for this composition: 0.230 eV/atom
ΔE_f: 757.4 meV per atom
Size of the total moment: 0.00 Bohr magnetons per cell
SG: Cm (8)

Entry 13:
A plane-wave DFT calculation with PBE was carried out for a relaxed structure of KZnW3.

Cell and atoms, written as CIF:
```
data_KZnW3
_chemical_formula_sum 'K1 Zn1 W3'
_cell_length_a 4.7641
_cell_length_b 4.7641
_cell_length_c 4.7641
_cell_angle_alpha 90.00
_cell_angle_beta 90.00
_cell_angle_gamma 90.00
_space_group_name_H-M_alt 'P 1'
_space_group_IT_number 1
loop_
_space_group_symop_operation_xyz
'x,y,z'
loop_
_atom_site_label
_atom_site_type_symbol
_atom_site_fract_x
_atom_site_fract_y
_atom_site_fract_z
_atom_site_occupancy
K1 K 0.0000 0.0000 0.0000 1
Zn1 Zn 0.5000 0.5000 0.5000 1
W1 W 0.0000 0.5000 0.5000 1
W2 W 0.5000 0.0000 0.5000 1
W3 W 0.5000 0.5000 0.0000 1
```

Energy relative to the lowest polymorph listed for this composition: 0.000 eV/atom
ΔE_f: 2476.5 meV per atom
Size of the total moment: 0.00 Bohr magnetons per cell
SG: Pm-3m (221)

Entry 14:
A plane-wave DFT calculation with PBE was carried out for a relaxed structure of KZn2W.

Cell and atoms, written as CIF:
```
data_KZn2W
_chemical_formula_sum 'K1 Zn2 W1'
_cell_length_a 10.8141
_cell_length_b 10.8141
_cell_length_c 10.8141
_cell_angle_alpha 15.20
_cell_angle_beta 15.20
_cell_angle_gamma 15.20
_space_group_name_H-M_alt 'P 1'
_space_group_IT_number 1
loop_
_space_group_symop_operation_xyz
'x,y,z'
loop_
_atom_site_label
_atom_site_type_symbol
_atom_site_fract_x
_atom_site_fract_y
_atom_site_fract_z
_atom_site_occupancy
K1 K 0.0000 0.0000 0.0000 1
Zn1 Zn 0.2396 0.2396 0.2396 1
Zn2 Zn 0.4997 0.4997 0.4997 1
W1 W 0.7636 0.7636 0.7636 1
```

Energy relative to the lowest polymorph listed for this composition: 0.179 eV/atom
ΔE_f: 706.3 meV per atom
Size of the total moment: 0.00 Bohr magnetons per cell
SG: R3m (160)

Entry 15:
A plane-wave DFT calculation with PBE was carried out for a relaxed structure of K3ZnW.

Cell and atoms, written as CIF:
```
data_K3ZnW
_chemical_formula_sum 'K3 Zn1 W1'
_cell_length_a 6.8494
_cell_length_b 6.8494
_cell_length_c 6.8494
_cell_angle_alpha 90.00
_cell_angle_beta 90.00
_cell_angle_gamma 90.00
_space_group_name_H-M_alt 'P 1'
_space_group_IT_number 1
loop_
_space_group_symop_operation_xyz
'x,y,z'
loop_
_atom_site_label
_atom_site_type_symbol
_atom_site_fract_x
_atom_site_fract_y
_atom_site_fract_z
_atom_site_occupancy
K1 K 0.0000 0.0000 0.5000 1
K2 K 0.0000 0.5000 0.0000 1
K3 K 0.5000 0.0000 0.0000 1
Zn1 Zn 0.5000 0.5000 0.5000 1
W1 W 0.0000 0.0000 0.0000 1
```

Energy relative to the lowest polymorph listed for this composition: 0.000 eV/atom
ΔE_f: 1470.6 meV per atom
Size of the total moment: 6.56 Bohr magnetons per cell
SG: Pm-3m (221)